Arrangement one

First-principles (PBE-GGA) data for a relaxed BaLiTa crystal, as listed in Alexandria via LeMat-Bulk.

Lattice parameters (Å, degrees): 3.910 3.589 12.523 90.00 90.00 90.00
Positions (direct):
Li1 0.000 0.500 0.560
Li2 0.500 0.000 0.522
Ba1 0.500 0.500 0.981
Ba2 0.000 0.500 0.287
Ta1 0.500 0.500 0.711
Ta2 0.000 0.000 0.774

- theoretical density (Mg/m³) = 6.145
- magnetization (μB/f.u.) = 0.00
- symmetry = Pmm2 (25)

=====

Arrangement two

First-principles (PBE-GGA) data for a relaxed BaLiTa crystal, as listed in Alexandria via LeMat-Bulk.

Lattice parameters (Å, degrees): 4.441 4.441 11.151 90.00 90.00 120.00
Positions (direct):
Li1 0.333 0.667 0.250
Li2 0.667 0.333 0.750
Ba1 0.000 0.000 0.250
Ba2 0.000 0.000 0.750
Ta1 0.000 0.000 0.000
Ta2 0.000 0.000 0.500

- theoretical density (Mg/m³) = 5.670
- magnetization (μB/f.u.) = 0.00
- symmetry = P6_3/mmc (194)

=====

The least stable of them is arrangement two.

=====

Arrangement one

First-principles (PBE-GGA) data for a relaxed BaLiTa crystal, as listed in Alexandria via LeMat-Bulk.

Lattice parameters (Å, degrees): 5.439 5.439 2.975 90.00 90.00 120.00
Last column: magnetic moment on the atom in μB.
Positions (direct):
Ba1 0.000 0.000 0.112  0.03
Li1 0.667 0.333 0.248  -0.01
Ta1 0.333 0.667 0.640  0.36

- theoretical density (Mg/m³) = 7.085
- magnetization (μB/f.u.) = 0.59
- symmetry = P3m1 (156)

=====

Arrangement two

First-principles (PBE-GGA) data for a relaxed BaLiTa crystal, as listed in Alexandria via LeMat-Bulk.

Lattice parameters (Å, degrees): 7.056 4.783 10.416 90.00 90.00 90.00
Positions (direct):
Li1 0.736 0.250 0.334
Li2 0.764 0.750 0.834
Li3 0.264 0.750 0.666
Li4 0.236 0.250 0.166
Ba1 0.121 0.250 0.849
Ba2 0.379 0.750 0.349
Ba3 0.879 0.750 0.151
Ba4 0.621 0.250 0.651
Ta1 0.061 0.250 0.489
Ta2 0.439 0.750 0.989
Ta3 0.939 0.750 0.511
Ta4 0.561 0.250 0.011

- theoretical density (Mg/m³) = 6.145
- magnetization (μB/f.u.) = 0.00
- symmetry = Pnma (62)

=====

Arrangement three

First-principles (PBE-GGA) data for a relaxed BaLiTa crystal, as listed in Alexandria via LeMat-Bulk.

Lattice parameters (Å, degrees): 5.616 5.616 6.654 90.00 90.00 120.00
Last column: magnetic moment on the atom in μB.
Positions (direct):
Li1 0.000 0.000 0.000  0.00
Li2 0.000 0.000 0.500  0.00
Ba1 0.333 0.667 0.750  0.17
Ba2 0.667 0.333 0.250  0.17
Ta1 0.333 0.667 0.250  1.58
Ta2 0.667 0.333 0.750  1.57

- theoretical density (Mg/m³) = 5.943
- magnetization (μB/f.u.) = 2.69
- symmetry = P6_3/mmc (194)

=====

Arrangement four

First-principles (PBE-GGA) data for a relaxed BaLiTa crystal, as listed in Alexandria via LeMat-Bulk.

Lattice parameters (Å, degrees): 3.636 3.636 13.225 90.00 89.25 90.00
Positions (direct):
Li1 0.107 0.500 0.584
Li2 0.611 0.000 0.478
Ba1 0.586 0.000 0.985
Ba2 0.122 0.500 0.278
Ta1 0.600 0.000 0.716
Ta2 0.096 0.500 0.795

- theoretical density (Mg/m³) = 6.177
- magnetization (μB/f.u.) = 0.00
- symmetry = Pm (6)

=====

The least stable of them is arrangement three.

=====

Arrangement one

First-principles (PBE-GGA) data for a relaxed BaLiTa crystal, as listed in Alexandria via LeMat-Bulk.

Lattice parameters (Å, degrees): 18.086 8.785 8.785 157.10 158.76 21.24
Positions (direct):
Li1 0.706 0.354 0.646
Li2 0.696 0.980 0.020
Ba1 0.698 0.701 0.299
Ba2 0.197 0.054 0.946
Ta1 0.199 0.762 0.238
Ta2 0.203 0.369 0.631

- theoretical density (Mg/m³) = 6.430
- magnetization (μB/f.u.) = 0.00
- symmetry = Cm (8)

=====

Arrangement two

First-principles (PBE-GGA) data for a relaxed BaLiTa crystal, as listed in Alexandria via LeMat-Bulk.

Lattice parameters (Å, degrees): 3.220 3.220 8.523 90.00 90.00 120.00
Positions (direct):
Ba1 0.000 0.000 0.986
Li1 0.333 0.667 0.370
Ta1 0.667 0.333 0.645

- theoretical density (Mg/m³) = 7.056
- magnetization (μB/f.u.) = 0.00
- symmetry = P3m1 (156)

=====

Arrangement three

First-principles (PBE-GGA) data for a relaxed BaLiTa crystal, as listed in Alexandria via LeMat-Bulk.

Lattice parameters (Å, degrees): 6.231 6.841 4.652 70.24 90.00 93.62
Positions (direct):
Li1 0.618 0.429 0.745
Li2 0.328 0.547 0.186
Ba1 0.097 0.128 0.898
Ba2 0.586 0.941 0.491
Ta1 0.875 0.615 0.152
Ta2 0.031 0.640 0.640

- theoretical density (Mg/m³) = 5.801
- magnetization (μB/f.u.) = 0.00
- symmetry = P1 (1)

=====

Arrangement four

First-principles (PBE-GGA) data for a relaxed BaLiTa crystal, as listed in Alexandria via LeMat-Bulk.

Lattice parameters (Å, degrees): 4.980 4.980 4.980 60.00 60.00 60.00
Positions (direct):
Li1 0.250 0.250 0.250
Ba1 0.000 0.000 0.000
Ta1 0.750 0.750 0.750

- theoretical density (Mg/m³) = 6.185
- magnetization (μB/f.u.) = 0.00
- symmetry = F-43m (216)

=====

The least stable of them is arrangement four.

=====

Arrangement one

First-principles (PBE-GGA) data for a relaxed BaLiTa crystal, as listed in Alexandria via LeMat-Bulk.

Lattice parameters (Å, degrees): 5.043 5.043 5.043 60.00 60.00 60.00
Positions (direct):
Li1 0.250 0.250 0.250
Ba1 0.750 0.750 0.750
Ta1 0.500 0.500 0.500

- theoretical density (Mg/m³) = 5.956
- magnetization (μB/f.u.) = 0.00
- symmetry = F-43m (216)

=====

Arrangement two

First-principles (PBE-GGA) data for a relaxed BaLiTa crystal, as listed in Alexandria via LeMat-Bulk.

Lattice parameters (Å, degrees): 8.180 6.909 3.453 104.38 90.06 67.63
Positions (direct):
Li1 0.654 0.927 0.713
Li2 0.346 0.073 0.287
Ba1 0.000 0.500 0.000
Ba2 0.500 0.500 0.000
Ta1 0.874 0.094 0.297
Ta2 0.126 0.906 0.703

- theoretical density (Mg/m³) = 6.213
- magnetization (μB/f.u.) = 0.00
- symmetry = P-1 (2)

=====

Arrangement three

First-principles (PBE-GGA) data for a relaxed BaLiTa crystal, as listed in Alexandria via LeMat-Bulk.

Lattice parameters (Å, degrees): 8.148 8.148 3.108 79.00 79.00 21.99
Last column: magnetic moment on the atom in μB.
Positions (direct):
Ba1 0.004 0.004 0.996  0.00
Li1 0.312 0.311 0.688  0.00
Ta1 0.685 0.685 0.315  0.13

- theoretical density (Mg/m³) = 7.124
- magnetization (μB/f.u.) = 0.22
- symmetry = I4mm (107)

=====

The least stable of them is arrangement one.

=====

Arrangement one

First-principles (PBE-GGA) data for a relaxed BaLiTa crystal, as listed in Alexandria via LeMat-Bulk.

Lattice parameters (Å, degrees): 9.111 6.923 5.263 90.00 90.00 90.00
Last column: magnetic moment on the atom in μB.
Positions (direct):
Li1 0.667 0.250 0.000  0.00
Li2 0.833 0.750 0.500  0.00
Li3 0.333 0.750 0.000  0.00
Li4 0.167 0.250 0.500  0.00
Ba1 0.000 0.000 0.000  0.11
Ba2 0.500 0.500 0.500  0.10
Ba3 0.500 0.000 0.500  0.11
Ba4 0.000 0.500 0.000  0.10
Ta1 0.334 0.250 0.000  1.32
Ta2 0.166 0.750 0.500  1.32
Ta3 0.666 0.750 0.000  1.32
Ta4 0.834 0.250 0.500  1.32

- theoretical density (Mg/m³) = 6.507
- magnetization (μB/f.u.) = 2.33
- symmetry = P6_3/mmc (194)

=====

Arrangement two

First-principles (PBE-GGA) data for a relaxed BaLiTa crystal, as listed in Alexandria via LeMat-Bulk.

Lattice parameters (Å, degrees): 5.155 5.155 5.155 60.00 60.00 60.00
Last column: magnetic moment on the atom in μB.
Positions (direct):
Ba1 0.500 0.500 0.500  0.19
Li1 0.750 0.750 0.750  0.05
Ta1 0.000 0.000 0.000  1.92

- theoretical density (Mg/m³) = 5.575
- magnetization (μB/f.u.) = 3.78
- symmetry = F-43m (216)

=====

Arrangement three

First-principles (PBE-GGA) data for a relaxed BaLiTa crystal, as listed in Alexandria via LeMat-Bulk.

Lattice parameters (Å, degrees): 5.713 9.523 3.377 89.90 73.06 81.32
Positions (direct):
Li1 0.154 0.141 0.458
Li2 0.678 0.633 0.669
Ba1 0.622 0.344 0.201
Ba2 0.728 0.922 0.144
Ta1 0.096 0.544 0.961
Ta2 0.256 0.717 0.379

- theoretical density (Mg/m³) = 6.223
- magnetization (μB/f.u.) = 0.00
- symmetry = P1 (1)

=====

The least stable of them is arrangement two.

=====

Arrangement one

First-principles (PBE-GGA) data for a relaxed BaLiTa crystal, as listed in Alexandria via LeMat-Bulk.

Lattice parameters (Å, degrees): 5.183 5.341 12.328 90.00 90.00 90.00
Positions (direct):
Li1 0.751 0.250 0.796
Li2 0.749 0.750 0.296
Li3 0.249 0.750 0.204
Li4 0.251 0.250 0.704
Ba1 0.751 0.250 0.536
Ba2 0.749 0.750 0.036
Ba3 0.249 0.750 0.464
Ba4 0.251 0.250 0.964
Ta1 0.497 0.250 0.250
Ta2 0.003 0.750 0.750
Ta3 0.503 0.750 0.750
Ta4 0.997 0.250 0.250

- theoretical density (Mg/m³) = 6.330
- magnetization (μB/f.u.) = 0.00
- symmetry = Pnma (62)

=====

Arrangement two

First-principles (PBE-GGA) data for a relaxed BaLiTa crystal, as listed in Alexandria via LeMat-Bulk.

Lattice parameters (Å, degrees): 12.664 6.291 6.291 137.86 140.38 39.62
Positions (direct):
Li1 0.359 0.958 0.042
Li2 0.641 0.042 0.958
Ba1 0.755 0.203 0.797
Ba2 0.245 0.797 0.203
Ta1 0.050 0.675 0.325
Ta2 0.950 0.325 0.675

- theoretical density (Mg/m³) = 5.690
- magnetization (μB/f.u.) = 0.00
- symmetry = C2/m (12)

=====

Arrangement three

First-principles (PBE-GGA) data for a relaxed BaLiTa crystal, as listed in Alexandria via LeMat-Bulk.

Lattice parameters (Å, degrees): 6.345 8.552 3.309 95.22 104.68 72.75
Positions (direct):
Li1 0.361 0.360 0.661
Li2 0.537 0.547 0.316
Ba1 0.956 0.180 0.116
Ba2 0.564 0.909 0.210
Ta1 0.984 0.560 0.993
Ta2 0.133 0.745 0.653

- theoretical density (Mg/m³) = 6.513
- magnetization (μB/f.u.) = 0.00
- symmetry = P1 (1)

=====

Arrangement four

First-principles (PBE-GGA) data for a relaxed BaLiTa crystal, as listed in Alexandria via LeMat-Bulk.

Lattice parameters (Å, degrees): 4.130 4.130 9.207 90.00 90.00 90.00
Positions (direct):
Li1 0.000 0.500 0.213
Li2 0.500 0.000 0.787
Ba1 0.000 0.000 0.500
Ba2 0.500 0.500 0.500
Ta1 0.000 0.500 0.939
Ta2 0.500 0.000 0.061

- theoretical density (Mg/m³) = 6.878
- magnetization (μB/f.u.) = 0.00
- symmetry = P4/nmm (129)

=====

The least stable of them is arrangement four.